LaPb2F8: relaxed, PBE-GGA.

Unit cell a=7.642 b=7.642 c=5.811 alpha=109.56 beta=109.56 gamma=30.73
Element x y z (fractional)
La  0.000  0.000  0.000
Pb  0.321  0.321  0.320
Pb  0.679  0.679  0.680
F  0.096  0.096  0.436
F  0.165  0.165  0.957
F  0.287  0.287  0.688
F  0.470  0.470  0.192
F  0.530  0.530  0.808
F  0.713  0.713  0.312
F  0.835  0.835  0.043
F  0.904  0.904  0.564

Formation energy without anion corrections, eV per formula unit: -31.37
Volume, Å³/f.u.: 163
Symmetry: C2/m
ΔE to the lowest computed polymorph, eV/atom: 0.000

***

SrCr2Ni: relaxed, PBE-GGA.

Unit cell a=3.157 b=3.173 c=7.238 alpha=90.00 beta=90.00 gamma=90.00
Element x y z (fractional)
Sr  0.000  0.000  0.000
Cr  0.000  0.000  0.477
Cr  0.500  0.500  0.643
Ni  0.500  0.500  0.292

Volume, Å³/f.u.: 73
Symmetry: Pmm2
ΔE to the lowest computed polymorph, eV/atom: 0.115
ΔH_f (0 K), kJ/mol of formula units: 197.5

***

TaSiCl2: relaxed, PBE-GGA.

Unit cell a=2.928 b=4.514 c=5.253 alpha=90.00 beta=90.00 gamma=90.00
Element x y z (fractional)
Ta  0.000  0.000  0.000
Si  0.500  0.000  0.500
Cl  0.000  0.500  0.500
Cl  0.500  0.500  0.000

Formation energy without anion corrections, eV per formula unit: 0.98
Volume, Å³/f.u.: 69
Symmetry: Pmmm
ΔE to the lowest computed polymorph, eV/atom: 0.727

***

MoOsBr2: relaxed, PBE-GGA.

Unit cell a=3.222 b=3.222 c=6.411 alpha=90.00 beta=90.00 gamma=90.00
Element x y z (fractional)
Mo  0.000  0.000  0.000
Os  0.000  0.000  0.500
Br  0.500  0.500  0.244
Br  0.500  0.500  0.756

Formation energy without anion corrections, eV per formula unit: 5.60
Volume, Å³/f.u.: 67
Symmetry: P4/mmm
ΔE to the lowest computed polymorph, eV/atom: 1.225

***

Si4PdPt2: relaxed, PBE-GGA.

Unit cell a=12.470 b=3.316 c=10.808 alpha=90.00 beta=90.00 gamma=90.00
Element x y z (fractional)
Si  0.018  0.250  0.096
Si  0.026  0.250  0.611
Si  0.205  0.750  0.548
Si  0.226  0.750  0.244
Si  0.274  0.250  0.744
Si  0.295  0.250  0.048
Si  0.474  0.750  0.111
Si  0.482  0.750  0.596
Si  0.518  0.250  0.404
Si  0.526  0.250  0.889
Si  0.705  0.750  0.952
Si  0.726  0.750  0.256
Si  0.774  0.250  0.756
Si  0.795  0.250  0.452
Si  0.974  0.750  0.389
Si  0.982  0.750  0.904
Pd  0.132  0.250  0.399
Pd  0.368  0.750  0.899
Pd  0.632  0.250  0.101
Pd  0.868  0.750  0.601
Pt  0.118  0.750  0.750
Pt  0.149  0.750  0.032
Pt  0.351  0.250  0.532
Pt  0.382  0.250  0.250
Pt  0.618  0.750  0.750
Pt  0.649  0.750  0.468
Pt  0.851  0.250  0.968
Pt  0.882  0.250  0.250

Formation energy without anion corrections, eV per formula unit: -2.85
Volume, Å³/f.u.: 112
Symmetry: Pnma

***

GdPaCoRu: relaxed, PBE-GGA.

Unit cell a=4.793 b=4.793 c=4.793 alpha=60.00 beta=60.00 gamma=60.00
Element x y z (fractional)
Gd  0.000  0.000  0.000
Pa  0.500  0.500  0.500
Co  0.250  0.250  0.250
Ru  0.750  0.750  0.750

Volume, Å³/f.u.: 78
Symmetry: F-43m
ΔH_f (0 K), kJ/mol of formula units: -79.9

***

Na2SiPb: relaxed, PBE-GGA.

Unit cell a=5.158 b=5.158 c=5.158 alpha=60.00 beta=60.00 gamma=60.00
Element x y z (fractional)
Na  0.250  0.250  0.250
Na  0.750  0.750  0.750
Si  0.000  0.000  0.000
Pb  0.500  0.500  0.500

Formation energy without anion corrections, eV per formula unit: 0.76
Volume, Å³/f.u.: 97
Symmetry: Fm-3m
ΔE to the lowest computed polymorph, eV/atom: 0.000

***

SrTl3: relaxed, PBE-GGA.

Unit cell a=4.997 b=4.997 c=4.997 alpha=90.00 beta=90.00 gamma=90.00
Element x y z (fractional)
Sr  0.000  0.000  0.000
Tl  0.000  0.500  0.500
Tl  0.500  0.000  0.500
Tl  0.500  0.500  0.000

Volume, Å³/f.u.: 125
Symmetry: Pm-3m
ΔH_f (0 K), kJ/mol of formula units: -97.7

***

LiTe2Se: relaxed, PBE-GGA.

Unit cell a=6.649 b=6.649 c=4.349 alpha=109.02 beta=109.02 gamma=38.13
Element x y z (fractional)
Li  0.000  0.000  0.000
Te  0.261  0.261  0.261
Te  0.739  0.739  0.739
Se  0.500  0.500  0.500

Formation energy without anion corrections, eV per formula unit: -1.41
Volume, Å³/f.u.: 111
Symmetry: C2/m

***

Fe2CuTcH: relaxed, PBE-GGA.

Unit cell a=3.690 b=3.690 c=3.848 alpha=90.00 beta=90.00 gamma=90.00
Element x y z (fractional)
Fe  0.000  0.500  0.000
Fe  0.500  0.000  0.000
Cu  0.000  0.000  0.500
Tc  0.500  0.500  0.500
H  0.500  0.500  0.000

Volume, Å³/f.u.: 52
Total energy, eV/atom: -6.7573
Symmetry: P4/mmm

***

TbZn4Pt4: relaxed, PBE-GGA.

Unit cell a=5.796 b=5.796 c=9.038 alpha=90.00 beta=90.00 gamma=90.00
Element x y z (fractional)
Tb  0.250  0.750  0.250
Tb  0.750  0.250  0.750
Zn  0.030  0.250  0.175
Zn  0.250  0.030  0.675
Zn  0.250  0.470  0.675
Zn  0.470  0.250  0.175
Zn  0.530  0.750  0.825
Zn  0.750  0.530  0.325
Zn  0.750  0.970  0.325
Zn  0.970  0.750  0.825
Pt  0.012  0.250  0.470
Pt  0.250  0.012  0.970
Pt  0.250  0.488  0.970
Pt  0.488  0.250  0.470
Pt  0.512  0.750  0.530
Pt  0.750  0.512  0.030
Pt  0.750  0.988  0.030
Pt  0.988  0.750  0.530

Volume, Å³/f.u.: 152
Symmetry: P4_2/nmc
ΔH_f (0 K), kJ/mol of formula units: -503.0

***

IrSNF2: relaxed, PBE-GGA.

Unit cell a=4.334 b=4.334 c=3.730 alpha=90.00 beta=90.00 gamma=90.00
Element x y z (fractional)
Ir  0.000  0.000  0.000
S  0.500  0.500  0.500
N  0.000  0.000  0.500
F  0.000  0.500  0.000
F  0.500  0.000  0.000

Formation energy without anion corrections, eV per formula unit: 1.51
Volume, Å³/f.u.: 70
Symmetry: P4/mmm
ΔE to the lowest computed polymorph, eV/atom: 0.000

***

LaAs2Se: relaxed, PBE-GGA.

Unit cell a=4.392 b=4.117 c=6.074 alpha=90.00 beta=109.99 gamma=90.00
Element x y z (fractional)
La  0.000  0.000  0.000
As  0.418  0.500  0.786
As  0.582  0.500  0.214
Se  0.000  0.000  0.500

Formation energy without anion corrections, eV per formula unit: -2.97
Volume, Å³/f.u.: 103
Symmetry: P2/m
ΔE to the lowest computed polymorph, eV/atom: 0.242

***

BeZn3Rh4: relaxed, PBE-GGA.

Unit cell a=2.930 b=2.930 c=12.204 alpha=90.00 beta=90.00 gamma=90.00
Element x y z (fractional)
Be  0.000  0.000  0.000
Zn  0.000  0.000  0.240
Zn  0.000  0.000  0.500
Zn  0.000  0.000  0.760
Rh  0.500  0.500  0.109
Rh  0.500  0.500  0.369
Rh  0.500  0.500  0.631
Rh  0.500  0.500  0.891

Volume, Å³/f.u.: 105
Symmetry: P4/mmm
ΔH_f (0 K), kJ/mol of formula units: -318.0

***

BaMnCrPd2: relaxed, PBE-GGA.

Unit cell a=5.322 b=5.322 c=5.586 alpha=90.00 beta=90.00 gamma=90.00
Element x y z (fractional)
Ba  0.000  0.000  0.000
Mn  0.500  0.500  0.500
Cr  0.000  0.000  0.500
Pd  0.000  0.500  0.000
Pd  0.500  0.000  0.000

Volume, Å³/f.u.: 158
Symmetry: P4/mmm
ΔH_f (0 K), kJ/mol of formula units: 807.2

***

Ac4NdSm: relaxed, PBE-GGA.

Unit cell a=8.562 b=8.562 c=5.525 alpha=90.00 beta=90.00 gamma=142.10
Element x y z (fractional)
Ac  0.161  0.839  0.000
Ac  0.339  0.661  0.500
Ac  0.661  0.339  0.500
Ac  0.839  0.161  0.000
Nd  0.000  0.000  0.500
Sm  0.500  0.500  0.000

Volume, Å³/f.u.: 249
Symmetry: Cmmm
ΔE to the lowest computed polymorph, eV/atom: 0.000
ΔH_f (0 K), kJ/mol of formula units: 19.8

***

MgInB2: relaxed, PBE-GGA.

Unit cell a=4.301 b=4.301 c=4.301 alpha=60.00 beta=60.00 gamma=60.00
Element x y z (fractional)
Mg  0.000  0.000  0.000
In  0.500  0.500  0.500
B  0.250  0.250  0.250
B  0.750  0.750  0.750

Volume, Å³/f.u.: 56
Symmetry: Fm-3m
ΔE to the lowest computed polymorph, eV/atom: 0.000
ΔH_f (0 K), kJ/mol of formula units: 441.1

***

NdNiHgPb: relaxed, PBE-GGA.

Unit cell a=5.089 b=5.089 c=5.089 alpha=60.00 beta=60.00 gamma=60.00
Element x y z (fractional)
Nd  0.000  0.000  0.000
Ni  0.750  0.750  0.750
Hg  0.250  0.250  0.250
Pb  0.500  0.500  0.500

Volume, Å³/f.u.: 93
Symmetry: F-43m
ΔH_f (0 K), kJ/mol of formula units: -61.1

***

Li2PmGe: relaxed, PBE-GGA.

Unit cell a=4.664 b=4.664 c=4.664 alpha=60.00 beta=60.00 gamma=60.00
Element x y z (fractional)
Li  0.250  0.250  0.250
Li  0.750  0.750  0.750
Pm  0.000  0.000  0.000
Ge  0.500  0.500  0.500

Volume, Å³/f.u.: 72
Symmetry: Fm-3m
ΔE to the lowest computed polymorph, eV/atom: 0.032
ΔH_f (0 K), kJ/mol of formula units: -146.0

***

TaReAg2: relaxed, PBE-GGA.

Unit cell a=10.013 b=10.013 c=10.013 alpha=16.14 beta=16.14 gamma=16.14
Element x y z (fractional)
Ta  0.000  0.000  0.000
Re  0.500  0.500  0.500
Ag  0.248  0.248  0.248
Ag  0.752  0.752  0.752

Volume, Å³/f.u.: 68
Symmetry: R-3m
ΔE to the lowest computed polymorph, eV/atom: 0.301
ΔH_f (0 K), kJ/mol of formula units: 202.0

***

Li6Sn2N: relaxed, PBE-GGA.

Unit cell a=3.408 b=7.330 c=7.330 alpha=131.61 beta=90.00 gamma=90.00
Element x y z (fractional)
Li  0.000  0.000  0.000
Li  0.000  0.570  0.739
Li  0.000  0.739  0.570
Li  0.500  0.047  0.773
Li  0.500  0.400  0.400
Li  0.500  0.773  0.047
Sn  0.000  0.061  0.466
Sn  0.000  0.466  0.061
N  0.500  0.759  0.759

Formation energy without anion corrections, eV per formula unit: -2.76
Volume, Å³/f.u.: 137
Symmetry: Amm2

***

Sr2CaRhO: relaxed, PBE-GGA.

Unit cell a=5.071 b=5.071 c=4.644 alpha=90.00 beta=90.00 gamma=90.00
Element x y z (fractional)
Sr  0.000  0.500  0.000
Sr  0.500  0.000  0.000
Ca  0.000  0.000  0.500
Rh  0.500  0.500  0.500
O  0.000  0.000  0.000

Formation energy without anion corrections, eV per formula unit: -5.64
Volume, Å³/f.u.: 119
Symmetry: P4/mmm

***

Tm2SiSe: relaxed, PBE-GGA.

Unit cell a=11.185 b=11.185 c=3.912 alpha=90.00 beta=90.00 gamma=159.04
Element x y z (fractional)
Tm  0.064  0.936  0.750
Tm  0.329  0.671  0.750
Tm  0.671  0.329  0.250
Tm  0.936  0.064  0.250
Si  0.460  0.540  0.750
Si  0.540  0.460  0.250
Se  0.194  0.806  0.750
Se  0.806  0.194  0.250

Formation energy without anion corrections, eV per formula unit: -5.09
Volume, Å³/f.u.: 88
Symmetry: Cmcm
ΔE to the lowest computed polymorph, eV/atom: 0.000

***

CsRb3Th2S6: relaxed, PBE-GGA.

Unit cell a=10.242 b=10.242 c=9.497 alpha=103.64 beta=103.64 gamma=24.43
Element x y z (fractional)
Cs  0.000  0.000  0.000
Rb  0.000  0.000  0.500
Rb  0.344  0.344  0.167
Rb  0.656  0.656  0.833
Th  0.331  0.331  0.662
Th  0.669  0.669  0.338
S  0.179  0.179  0.152
S  0.181  0.181  0.548
S  0.466  0.466  0.720
S  0.534  0.534  0.280
S  0.819  0.819  0.452
S  0.821  0.821  0.848

Formation energy without anion corrections, eV per formula unit: -19.56
Volume, Å³/f.u.: 400
Symmetry: C2/m

***

Ho5TeSe4: relaxed, PBE-GGA.

Unit cell a=7.161 b=7.161 c=10.079 alpha=118.39 beta=118.39 gamma=33.24
Element x y z (fractional)
Ho  0.000  0.000  0.000
Ho  0.210  0.210  0.816
Ho  0.386  0.386  0.607
Ho  0.614  0.614  0.393
Ho  0.790  0.790  0.184
Te  0.000  0.000  0.500
Se  0.204  0.204  0.293
Se  0.407  0.407  0.108
Se  0.593  0.593  0.892
Se  0.796  0.796  0.707

Formation energy without anion corrections, eV per formula unit: -16.19
Volume, Å³/f.u.: 246
Symmetry: C2/m
ΔE to the lowest computed polymorph, eV/atom: 0.004

***

K3LiNb: relaxed, PBE-GGA.

Unit cell a=6.816 b=6.816 c=6.816 alpha=90.00 beta=90.00 gamma=90.00
Element x y z (fractional)
K  0.000  0.000  0.500
K  0.000  0.500  0.000
K  0.500  0.000  0.000
Li  0.500  0.500  0.500
Nb  0.000  0.000  0.000

Volume, Å³/f.u.: 317
Symmetry: Pm-3m
ΔE to the lowest computed polymorph, eV/atom: 0.000
ΔH_f (0 K), kJ/mol of formula units: 551.0

***

Q: Which mass density values were calculated for the entries above? A: 7203, 5733, 6694, 11125, 9049, 11692, 4814, 9329, 5084, 8692, 13135, 6548, 5915, 9777, 4797, 8026, 4745, 10885, 5360, 14315, 3554, 4648, 8440, 4343, 8560, 1139, in kg/m3.